First-principles (PBE-GGA) data for an optimized crystal structure of MnBi2Sb2, as listed in the Alexandria database. Values from VASP.

Structure (Quantum ESPRESSO input):
```
&SYSTEM
  ibrav = 0, nat = 10, ntyp = 3
/
ATOMIC_SPECIES
Sb 121.76 Sb.upf
Bi 208.98 Bi.upf
Mn 54.94 Mn.upf
ATOMIC_POSITIONS angstrom
Sb 4.419 1.047 0.000
Bi 4.610 5.504 2.865
Bi 2.133 1.239 2.865
Bi 5.504 2.133 2.865
Sb 1.047 2.324 0.000
Mn 3.371 3.371 0.000
Mn 0.000 0.000 0.000
Bi 1.239 4.610 2.865
Sb 5.695 4.419 0.000
Sb 2.324 5.695 0.000
CELL_PARAMETERS angstrom
6.742 0.000 0.000
0.000 6.742 0.000
0.000 0.000 5.730
```

Values from the calculation:
E_form (uncorrected), eV/f.u.: 2.0
Energy, eV per atom: -4.631
Space group: P4/mbm